The following is a DFT calculation (PBE-GGA) of a relaxed structure of NaCO3.

```
NaCO3
1.0
6.392 0.102 0.080
1.622 6.474 -0.911
1.622 0.636 6.507
C O Na
4 12 4
direct
0.237 0.369 0.177
0.737 0.177 0.369
0.763 0.631 0.823
0.263 0.823 0.631
0.800 0.692 0.639
0.346 0.239 0.026
0.200 0.308 0.361
0.846 0.026 0.239
0.843 0.441 0.849
0.157 0.559 0.151
0.657 0.151 0.559
0.343 0.849 0.441
0.154 0.974 0.761
0.700 0.361 0.308
0.300 0.639 0.692
0.654 0.761 0.974
0.750 0.695 0.305
0.250 0.305 0.695
0.250 0.888 0.112
0.750 0.112 0.888
```

Values from the calculation:
The calculation puts the total energy at -0.474 Ry/atom. The calculation puts the volume at 67.74 Å³/f.u. Its space group is C2/c, No. 15. For the formation energy without anion corrections, the calculation gives -6.83 eV/f.u.